Record 1
DFT (PBE) results for a relaxed structure of RbYGe.

a = 5.2758 Å, b = 5.2758 Å, c = 7.9597 Å
α = 90.00°, β = 90.00°, γ = 90.00°
Last column: nearest neighbours and their distance in Å.
Sites, in units of the cell vectors:
Y (0.0000, 0.0000, 0.5000)  4 Ge 2.94
Y (0.5000, 0.5000, 0.5000)  4 Ge 2.94
Ge (0.0000, 0.5000, 0.3381)  4 Y 2.94
Ge (0.5000, 0.0000, 0.6619)  4 Y 2.94
Rb (0.0000, 0.5000, 0.8830)  1 Ge 3.62, 4 Y 4.03
Rb (0.5000, 0.0000, 0.1170)  1 Ge 3.62, 4 Y 4.03

Computed properties:
E above lowest polymorph in eV/f.u.: 0.04
Energy of formation in kJ/mol of atoms: -35.4
Symmetry: P4/nmm
Total magnetic moment in μB per formula unit: 0.0

Record 2
DFT (PBE) results for a relaxed structure of RbY2Ge2.

a = 5.1888 Å, b = 5.1888 Å, c = 7.0004 Å
α = 68.25°, β = 68.25°, γ = 90.00°
Last column: nearest neighbours and their distance in Å.
Sites, in units of the cell vectors:
Y (0.7500, 0.2500, 0.5000)  4 Ge 2.97
Y (0.2500, 0.7500, 0.5000)  4 Ge 2.97
Ge (0.3719, 0.3719, 0.2562)  4 Y 2.97, 1 Ge 3.05
Ge (0.6281, 0.6281, 0.7438)  4 Y 2.97, 1 Ge 3.05
Rb (0.0000, 0.0000, 0.0000)  8 Y 3.95, 8 Ge 3.97

Computed properties:
Energy of formation in kJ/mol of atoms: -24.2
Symmetry: I4/mmm
Total magnetic moment in μB per formula unit: 0.0

Record 3
DFT (PBE) results for a relaxed structure of RbYZr2Ge.

a = 5.4242 Å, b = 5.4242 Å, c = 5.6440 Å
α = 90.00°, β = 90.00°, γ = 90.00°
Last column: nearest neighbours and their distance in Å.
Sites, in units of the cell vectors:
Y (0.0000, 0.0000, 0.0000)  4 Zr 2.71, 2 Ge 2.82
Ge (0.0000, 0.0000, 0.5000)  2 Y 2.82
Rb (0.5000, 0.5000, 0.5000)  4 Ge 3.84, 8 Zr 3.91
Zr (0.0000, 0.5000, 0.0000)  2 Y 2.71
Zr (0.5000, 0.0000, 0.0000)  2 Y 2.71

Computed properties:
Energy of formation in kJ/mol of atoms: 105.6
Symmetry: P4/mmm
Total magnetic moment in μB per formula unit: 0.0

Record 4
DFT (PBE) results for a relaxed structure of RbZnGe2.

a = 4.3217 Å, b = 4.3217 Å, c = 7.3193 Å
α = 72.83°, β = 72.83°, γ = 60.00°
Last column: nearest neighbours and their distance in Å.
Sites, in units of the cell vectors:
Ge (0.2935, 0.2935, 0.1194)  3 Zn 2.63
Ge (0.7065, 0.7065, 0.8806)  3 Zn 2.63
Zn (0.0000, 0.0000, 0.0000)  6 Ge 2.63
Rb (0.5000, 0.5000, 0.5000)  6 Ge 3.62

Computed properties:
Energy of formation in kJ/mol of atoms: 3.9
Symmetry: R-3m
Total magnetic moment in μB per formula unit: 0.0

Question: Which value of total magnetic moment does entry 2 give?
Answer: 0.0 μB per formula unit

Please write out number 1 again, unchanged.
DFT (PBE) results for a relaxed structure of RbYGe.

a = 5.2758 Å, b = 5.2758 Å, c = 7.9597 Å
α = 90.00°, β = 90.00°, γ = 90.00°
Last column: nearest neighbours and their distance in Å.
Sites, in units of the cell vectors:
Y (0.0000, 0.0000, 0.5000)  4 Ge 2.94
Y (0.5000, 0.5000, 0.5000)  4 Ge 2.94
Ge (0.0000, 0.5000, 0.3381)  4 Y 2.94
Ge (0.5000, 0.0000, 0.6619)  4 Y 2.94
Rb (0.0000, 0.5000, 0.8830)  1 Ge 3.62, 4 Y 4.03
Rb (0.5000, 0.0000, 0.1170)  1 Ge 3.62, 4 Y 4.03

Computed properties:
E above lowest polymorph in eV/f.u.: 0.04
Energy of formation in kJ/mol of atoms: -35.4
Symmetry: P4/nmm
Total magnetic moment in μB per formula unit: 0.0